! PBE Cu2HRuPt, relaxed; values from VASP
! Total DFT energy (no corrections) in eV/atom: -5.218
! SG: P4/mmm, No. 123
! Spin magnetization in μB/cell: 1.4
&SYSTEM
  ibrav = 0, nat = 5, ntyp = 4
/
ATOMIC_SPECIES
Cu 63.55 Cu.upf
H 1.01 H.upf
Ru 101.07 Ru.upf
Pt 195.08 Pt.upf
ATOMIC_POSITIONS angstrom
Cu 0.000 1.974 0.000
Cu 1.974 0.000 0.000
H 0.000 0.000 0.000
Ru 0.000 0.000 1.826
Pt 1.974 1.974 1.826
CELL_PARAMETERS angstrom
3.947 0.000 0.000
0.000 3.947 0.000
0.000 0.000 3.652

! PBE SrLa3Tc, relaxed; values from VASP
! Total DFT energy (no corrections) in eV/atom: -5.356
! SG: Pm-3m, No. 221
! Formation energy in eV per atom: 0.010
! Spin magnetization in μB/cell: 0.0
&SYSTEM
  ibrav = 0, nat = 5, ntyp = 3
/
ATOMIC_SPECIES
Sr 87.62 Sr.upf
La 138.91 La.upf
Tc 98.00 Tc.upf
ATOMIC_POSITIONS angstrom
Sr 0.000 0.000 0.000
La 0.000 2.841 2.841
La 2.841 0.000 2.841
La 2.841 2.841 0.000
Tc 2.841 2.841 2.841
CELL_PARAMETERS angstrom
5.682 0.000 0.000
0.000 5.682 0.000
0.000 0.000 5.682

! PBE NpSbPd6, relaxed; values from VASP
! Total DFT energy (no corrections) in eV/atom: -6.425
! SG: P4/mmm, No. 123
! E_form (uncorrected) in kJ/mol of atoms: -38
! Spin magnetization in μB/cell: 3.3
&SYSTEM
  ibrav = 0, nat = 8, ntyp = 3
/
ATOMIC_SPECIES
Np 237.00 Np.upf
Sb 121.76 Sb.upf
Pd 106.42 Pd.upf
ATOMIC_POSITIONS angstrom
Np 0.000 0.000 0.000
Sb 0.000 0.000 4.069
Pd 0.000 2.058 2.054
Pd 0.000 2.058 6.084
Pd 2.058 0.000 2.054
Pd 2.058 0.000 6.084
Pd 2.058 2.058 0.000
Pd 2.058 2.058 4.069
CELL_PARAMETERS angstrom
4.115 0.000 0.000
0.000 4.115 0.000
0.000 0.000 8.138

! PBE Sr2SiBr, relaxed; values from VASP
! Total DFT energy (no corrections) in eV/atom: -3.511
! SG: R3m, No. 160
! E_form (uncorrected) in kJ/mol of atoms: -86
! Spin magnetization in μB/cell: 0.0
&SYSTEM
  ibrav = 0, nat = 12, ntyp = 3
/
ATOMIC_SPECIES
Sr 87.62 Sr.upf
Si 28.09 Si.upf
Br 79.90 Br.upf
ATOMIC_POSITIONS angstrom
Sr 0.000 0.000 0.000
Sr 0.000 0.000 4.625
Sr 0.000 2.525 16.556
Sr 0.000 2.525 21.181
Sr 2.187 1.263 8.278
Sr 2.187 1.263 12.903
Si 0.000 0.000 14.727
Si 0.000 2.525 6.449
Si 2.187 1.263 23.005
Br 0.000 0.000 10.497
Br 0.000 2.525 2.219
Br 2.187 1.263 18.775
CELL_PARAMETERS angstrom
4.374 0.000 0.000
-2.187 3.788 0.000
0.000 0.000 24.833